Here is an optimized crystal structure of B2H4Cl3 from Alexandria via LeMat-Bulk. Energies are from PBE.

Geometry as POSCAR:
```
B2H4Cl3
1.0
-2.468 2.574 -2.654
-7.892 -4.259 2.519
-4.723 3.588 7.182
B H Cl
4 8 6
Direct
0.415 0.080 0.514
0.085 0.486 0.920
0.585 0.920 0.486
0.915 0.514 0.080
0.315 0.992 0.448
0.185 0.552 0.008
0.685 0.008 0.552
0.815 0.448 0.992
0.442 0.216 0.411
0.058 0.589 0.784
0.558 0.784 0.589
0.942 0.411 0.216
0.797 0.960 0.306
0.703 0.694 0.040
0.203 0.040 0.694
0.297 0.306 0.960
0.250 0.533 0.467
0.750 0.467 0.533
```

Properties
Its total energy is -3.897 eV per atom. Its space-group type is C2/c (15). The total magnetization comes out at 0.0079 μB/atom.

=====

Here is an optimized crystal structure of YPdPtAu from Alexandria via LeMat-Bulk. Energies are from PBE.

Geometry as POSCAR:
```
YPdPtAu
1.0
4.018 0.000 0.000
0.000 4.251 0.000
0.000 0.000 4.276
Y Pd Pt Au
1 1 1 1
Direct
0.500 0.000 0.500
0.000 0.500 0.500
0.000 0.000 0.000
0.500 0.500 0.000
```

Properties
Its formation energy is -0.87 eV per atom. Its total energy is -6.115 eV per atom. Its space-group type is Pmmm (47). The total magnetization comes out at 0.0000 μB/atom.

=====

Here is an optimized crystal structure of MgCrCo2 from Alexandria via LeMat-Bulk. Energies are from PBE.

Geometry as POSCAR:
```
MgCrCo2
1.0
2.830 0.000 0.000
0.000 2.831 0.050
0.000 2.718 6.311
Co Cr Mg
2 1 1
Direct
0.000 0.965 0.035
0.000 0.535 0.465
0.500 0.250 0.250
0.500 0.750 0.750
```

Properties
Its formation energy is 0.09 eV per atom. Its total energy is -6.265 eV per atom. Its space-group type is P4/mmm (123). The total magnetization comes out at 0.5606 μB/atom.

=====

Here is an optimized crystal structure of BiSe2I from Alexandria via LeMat-Bulk. Energies are from PBE.

Geometry as POSCAR:
```
BiSe2I
1.0
7.932 0.000 0.000
0.000 7.932 0.000
3.966 3.966 4.263
I Bi Se
2 2 4
Direct
0.500 0.500 0.000
0.250 0.750 0.500
0.000 0.000 0.000
0.750 0.250 0.500
0.660 0.125 0.250
0.090 0.625 0.250
0.375 0.340 0.750
0.875 0.910 0.750
```

Properties
The calculation puts the energy relative to the lowest polymorph listed for this composition at 283 meV per atom. The raw formation energy comes out at 101 meV/atom. Its total energy is -2.999 eV per atom. Its space-group type is I-42d (122). The total magnetization comes out at 0.0000 μB/atom.

=====

Here is an optimized crystal structure of Tl2BPd8 from Alexandria via LeMat-Bulk. Energies are from PBE.

Geometry as POSCAR:
```
Tl2BPd8
1.0
-2.415 -0.445 4.016
2.389 -5.168 0.864
4.935 5.624 0.832
Tl B Pd
2 1 8
Direct
0.813 0.313 0.626
0.187 0.687 0.374
0.500 0.000 0.000
0.385 0.636 0.770
0.615 0.867 0.231
0.812 0.812 0.624
0.000 0.243 0.000
0.188 0.188 0.376
0.385 0.133 0.769
0.615 0.364 0.230
0.000 0.757 0.000
```

Properties
Its formation energy is -0.15 eV per atom. Its total energy is -4.966 eV per atom. Its space-group type is Immm (71). The total magnetization comes out at 0.0000 μB/atom.

=====

Here is an optimized crystal structure of NaZrAs2 from Alexandria via LeMat-Bulk. Energies are from PBE.

Geometry as POSCAR:
```
NaZrAs2
1.0
3.785 0.000 0.000
1.892 3.278 0.000
1.892 1.093 7.558
Na Zr As
1 1 2
Direct
0.499 0.499 0.504
0.667 0.667 0.998
0.074 0.074 0.779
0.260 0.260 0.220
```

Properties
The calculation puts the energy relative to the lowest polymorph listed for this composition at 5 meV per atom. Its formation energy is -0.65 eV per atom. Its total energy is -5.437 eV per atom. Its space-group type is R3m (160). The total magnetization comes out at 0.0000 μB/atom.